# 1
NiTe3F: single point on PBEsol structure, meta-GGA SCAN.

Calculated values
V ... 22.609 A^3/atom
ΔE_f (raw) ... 0.61 eV/atom
Space group ... Pm-3m
Theoretical density ... 6.764 g cm⁻³
Electronic total energy ... -25.6846 eV/atom
DOS at the Fermi energy ... 5.5 states/eV per cell

Geometry as POSCAR:
```
NiTe3F
1.0
-3.216 3.191 1.689
-2.979 -3.623 1.173
2.040 -0.260 4.376
Te F Ni
3 1 1
Direct
0.000 0.000 0.500 Te
0.500 0.000 0.000 Te
0.000 0.500 0.000 Te
0.000 0.000 0.000 F
0.500 0.500 0.500 Ni
```

# 2
Ti3NiF: single point on PBEsol structure, meta-GGA SCAN.

Calculated values
V ... 13.248 A^3/atom
ΔE_f (raw) ... -0.62 eV/atom
Space group ... Pm-3m
Theoretical density ... 5.547 g cm⁻³
Electronic total energy ... -14.1784 eV/atom
DOS at the Fermi energy ... 4.4 states/eV per cell

Geometry as POSCAR:
```
Ti3NiF
1.0
-2.532 1.256 -2.895
-2.960 -2.231 1.621
-1.093 3.133 2.316
Ni Ti F
1 3 1
Direct
0.500 0.500 0.500 Ni
0.000 0.000 0.500 Ti
0.000 0.500 0.000 Ti
0.500 0.000 0.000 Ti
0.000 0.000 0.000 F
```

# 3
Ni3WF: single point on PBEsol structure, meta-GGA SCAN.

Calculated values
V ... 11.702 A^3/atom
ΔE_f (raw) ... 0.64 eV/atom
Space group ... Pm-3m
Theoretical density ... 10.754 g cm⁻³
Electronic total energy ... -23.7093 eV/atom
DOS at the Fermi energy ... 5.2 states/eV per cell

Geometry as POSCAR:
```
Ni3WF
1.0
-0.295 0.589 -3.826
0.917 -3.717 -0.643
-3.761 -0.953 0.143
Ni F W
3 1 1
Direct
0.000 0.000 0.500 Ni
0.500 0.000 0.000 Ni
0.000 0.500 0.000 Ni
0.000 0.000 0.000 F
0.500 0.500 0.500 W
```

# 4
ZnNiF5: single point on PBEsol structure, meta-GGA SCAN.

Calculated values
V ... 11.195 A^3/atom
ΔE_f (raw) ... -2.14 eV/atom
Space group ... P2_1/c
Theoretical density ... 4.643 g cm⁻³
Electronic total energy ... -8.9094 eV/atom
DOS at the Fermi energy ... 6.5 states/eV per cell

Geometry as POSCAR:
```
ZnNiF5
1.0
4.953 -0.033 0.000
-2.459 6.704 0.000
0.000 0.000 9.464
F Zn Ni
20 4 4
Direct
0.662 0.003 0.895 F
0.080 0.858 0.855 F
0.531 0.946 0.621 F
0.338 0.997 0.105 F
0.413 0.290 0.908 F
0.587 0.710 0.092 F
0.031 0.446 0.879 F
0.838 0.497 0.395 F
0.469 0.344 0.186 F
0.469 0.054 0.379 F
0.420 0.642 0.355 F
0.087 0.210 0.408 F
0.162 0.503 0.605 F
0.031 0.156 0.686 F
0.969 0.554 0.121 F
0.531 0.656 0.814 F
0.969 0.844 0.314 F
0.920 0.142 0.145 F
0.580 0.358 0.645 F
0.913 0.790 0.592 F
0.729 0.258 0.014 Zn
0.271 0.742 0.986 Zn
0.229 0.758 0.486 Zn
0.771 0.242 0.514 Zn
0.298 0.398 0.755 Ni
0.798 0.898 0.745 Ni
0.702 0.602 0.245 Ni
0.202 0.102 0.255 Ni
```

# 5
ZnNiF2: single point on PBEsol structure, meta-GGA SCAN.

Calculated values
V ... 10.592 A^3/atom
ΔE_f (raw) ... -0.76 eV/atom
Space group ... Fm-3m
Theoretical density ... 6.353 g cm⁻³
Electronic total energy ... -9.9544 eV/atom
DOS at the Fermi energy ... 6.0 states/eV per cell

Geometry as POSCAR:
```
ZnNiF2
1.0
-0.163 -0.780 3.831
-1.971 -3.130 1.277
1.937 -3.072 1.456
F Ni Zn
2 1 1
Direct
0.250 0.250 0.250 F
0.750 0.750 0.750 F
0.000 0.000 0.000 Ni
0.500 0.500 0.500 Zn
```

# 6
ZrNiF6: single point on PBEsol structure, meta-GGA SCAN.

Calculated values
V ... 15.731 A^3/atom
ΔE_f (raw) ... -3.34 eV/atom
Space group ... Fm-3m
Theoretical density ... 3.482 g cm⁻³
Electronic total energy ... -11.8506 eV/atom
DOS at the Fermi energy ... 0.0 states/eV per cell

Geometry as POSCAR:
```
ZrNiF6
1.0
-3.285 4.509 -0.722
-5.354 -0.647 -1.598
-4.165 1.055 3.630
F Zr Ni
6 1 1
Direct
0.748 0.748 0.252 F
0.252 0.252 0.748 F
0.252 0.748 0.748 F
0.748 0.252 0.252 F
0.252 0.748 0.252 F
0.748 0.252 0.748 F
0.000 0.000 0.000 Zr
0.500 0.500 0.500 Ni
```

# 7
NpF3: single point on PBEsol structure, meta-GGA SCAN.

Calculated values
V ... 12.862 A^3/atom
ΔE_f (raw) ... -3.61 eV/atom
Space group ... P6_3/mmc
Theoretical density ... 9.489 g cm⁻³
Electronic total energy ... -33.0140 eV/atom
DOS at the Fermi energy ... 13.3 states/eV per cell

Geometry as POSCAR:
```
NpF3
1.0
4.072 0.000 0.000
-2.036 3.527 0.000
0.000 0.000 7.165
Np F
2 6
Direct
0.667 0.333 0.750 Np
0.333 0.667 0.250 Np
0.333 0.667 0.920 F
0.000 0.000 0.750 F
0.667 0.333 0.080 F
0.667 0.333 0.420 F
0.000 0.000 0.250 F
0.333 0.667 0.580 F
```

# 8
NpPO4F: single point on PBEsol structure, meta-GGA SCAN.

Calculated values
V ... 13.385 A^3/atom
ΔE_f (raw) ... -3.08 eV/atom
Space group ... Pnma
Theoretical density ... 6.220 g cm⁻³
Electronic total energy ... -23.9233 eV/atom

Geometry as POSCAR:
```
NpPO4F
1.0
-0.203 4.439 4.478
-6.411 -1.994 1.687
3.226 -5.574 5.673
P F O Np
4 4 16 4
Direct
0.817 0.750 0.103 P
0.183 0.250 0.897 P
0.317 0.250 0.397 P
0.683 0.750 0.603 P
0.695 0.250 0.788 F
0.305 0.750 0.212 F
0.805 0.250 0.288 F
0.195 0.750 0.712 F
0.387 0.250 0.228 O
0.167 0.075 0.433 O
0.493 0.750 0.491 O
0.993 0.250 0.009 O
0.167 0.425 0.433 O
0.887 0.750 0.272 O
0.333 0.075 0.933 O
0.833 0.925 0.567 O
0.333 0.425 0.933 O
0.007 0.750 0.991 O
0.833 0.575 0.567 O
0.667 0.575 0.067 O
0.613 0.750 0.772 O
0.113 0.250 0.728 O
0.507 0.250 0.509 O
0.667 0.925 0.067 O
0.352 0.750 0.948 Np
0.852 0.250 0.552 Np
0.648 0.250 0.052 Np
0.148 0.750 0.448 Np
```

> Which of these has the lowest ΔE_f (raw)?

NpF3

> Which of these has the highest theoretical density?

Ni3WF

> Which value of ΔE_f (raw) does entry 4 give?

-2.14 eV/atom